Gd2AgI | Alexandria | PBE | relaxed; ΔE_f (raw) = -1.83 eV/f.u.; calculated volume = 109.7 Å³/cell; VASP energy = -34.39 eV for the cell shown
1.0
3.685 0.000 0.000
0.000 3.685 0.000
0.000 0.000 8.081
Gd Ag I
2 1 1
Direct
0.000 0.000 0.227
0.000 0.000 0.773
0.500 0.500 0.000
0.500 0.500 0.500



NdGdAgI | Alexandria | PBE | relaxed; ΔE_f (raw) = -1.47 eV/f.u.; calculated volume = 111.1 Å³/cell; VASP energy = -24.72 eV for the cell shown
1.0
0.000 3.816 3.816
3.816 0.000 3.816
3.816 3.816 0.000
Nd Gd Ag I
1 1 1 1
Direct
0.000 0.000 0.000
0.500 0.500 0.500
0.750 0.750 0.750
0.250 0.250 0.250



GdIn2Ag | Alexandria | PBE | relaxed; calculated volume = 94.5 Å³/cell; VASP energy = -23.48 eV for the cell shown; calculated formation energy = -269 meV per atom
1.0
3.463 0.000 0.000
0.000 3.463 0.000
0.000 0.000 7.879
Gd In Ag
1 2 1
Direct
0.000 0.000 0.000
0.500 0.500 0.281
0.500 0.500 0.719
0.000 0.000 0.500



GdInAg | Alexandria | PBE | relaxed; calculated volume = 72.0 Å³/cell; VASP energy = -20.95 eV for the cell shown; calculated formation energy = -426 meV per atom
1.0
4.910 0.000 0.000
-2.455 4.252 0.000
0.000 0.000 3.450
Gd In Ag
1 1 1
Direct
0.000 0.000 0.000
0.333 0.667 0.500
0.667 0.333 0.500



GdIn2Ag | Alexandria | PBE | relaxed; calculated volume = 95.3 Å³/cell; VASP energy = -23.49 eV for the cell shown; calculated formation energy = -271 meV per atom
1.0
0.000 3.625 3.625
3.625 0.000 3.625
3.625 3.625 0.000
Gd In Ag
1 2 1
Direct
0.000 0.000 0.000
0.250 0.250 0.250
0.750 0.750 0.750
0.500 0.500 0.500



GdInAg | Alexandria | PBE | relaxed; calculated volume = 81.8 Å³/cell; VASP energy = -18.73 eV for the cell shown; calculated formation energy = 313 meV per atom
1.0
-1.577 1.577 8.231
1.577 -1.577 8.231
1.577 1.577 -8.231
Gd In Ag
1 1 1
Direct
0.000 0.000 0.000
0.807 0.807 0.000
0.182 0.182 0.000



GdInAg4 | Alexandria | PBE | relaxed; calculated volume = 125.1 Å³/cell; VASP energy = -29.60 eV for the cell shown; calculated formation energy = -229 meV per atom
1.0
0.000 3.969 3.969
3.969 0.000 3.969
3.969 3.969 0.000
Gd In Ag
1 1 4
Direct
0.000 0.000 0.000
0.250 0.250 0.250
0.125 0.625 0.625
0.625 0.125 0.625
0.625 0.625 0.125
0.625 0.625 0.625



GdIn2Ag | Alexandria | PBE | relaxed; calculated volume = 96.0 Å³/cell; VASP energy = -23.73 eV for the cell shown; calculated formation energy = -330 meV per atom
1.0
4.574 0.000 0.000
0.000 4.574 0.000
0.000 0.000 4.588
Gd In Ag
1 2 1
Direct
0.000 0.000 0.000
0.000 0.500 0.500
0.500 0.000 0.500
0.500 0.500 0.000



GdInAg | Alexandria | PBE | relaxed; calculated volume = 80.6 Å³/cell; VASP energy = -20.53 eV for the cell shown; calculated formation energy = -287 meV per atom
1.0
0.000 3.429 3.429
3.429 0.000 3.429
3.429 3.429 0.000
Gd In Ag
1 1 1
Direct
0.000 0.000 0.000
0.500 0.500 0.500
0.250 0.250 0.250



GdInAg2 | Alexandria | PBE | relaxed; calculated volume = 91.8 Å³/cell; VASP energy = -23.31 eV for the cell shown; calculated formation energy = -198 meV per atom
1.0
4.631 0.000 0.000
0.000 4.631 0.000
0.000 0.000 4.282
Gd In Ag
1 1 2
Direct
0.000 0.000 0.000
0.500 0.500 0.000
0.000 0.500 0.500
0.500 0.000 0.500



LiGdInAg | Alexandria | PBE | relaxed; calculated volume = 83.9 Å³/cell; VASP energy = -23.07 eV for the cell shown; calculated formation energy = -371 meV per atom
1.0
0.000 3.475 3.475
3.475 0.000 3.475
3.475 3.475 0.000
Li Gd In Ag
1 1 1 1
Direct
0.000 0.000 0.000
0.750 0.750 0.750
0.250 0.250 0.250
0.500 0.500 0.500



GdLuInAg | Alexandria | PBE | relaxed; calculated volume = 100.7 Å³/cell; VASP energy = -25.75 eV for the cell shown; calculated formation energy = -390 meV per atom
1.0
0.000 3.692 3.692
3.692 0.000 3.692
3.692 3.692 0.000
Gd Lu In Ag
1 1 1 1
Direct
0.000 0.000 0.000
0.500 0.500 0.500
0.250 0.250 0.250
0.750 0.750 0.750